ReSnSb2Te | PBE | optimized geometry

Properties
magnetic moment	0.0	μB per formula unit
energy	-4.94	eV per atom
calculated volume	30.2	Å³/atom
formation energy without anion corrections	0.632	eV per atom
energy above the lowest structure with this stoichiometry	0.0	meV/atom

Cell: 5.054 5.054 5.906 Å, 90.00 90.00 90.00°
Sites, in units of the cell vectors:
1 Re 0.000 0.000 0.000
2 Sn 0.500 0.500 0.500
3 Sb 0.000 0.500 0.000
4 Sb 0.500 0.000 0.000
5 Te 0.000 0.000 0.500